--- w ---
Here is a geometry-optimized Nd4MgAl2 structure from Alexandria via LeMat-Bulk. Energies are from PBE.

Unit cell a=5.283 b=5.283 c=8.984 alpha=72.90 beta=72.90 gamma=60.00
Sites, in units of the cell vectors:
Al 0.743 0.743 0.772
Al 0.257 0.257 0.228
Mg 0.000 0.000 0.000
Nd 0.132 0.132 0.603
Nd 0.868 0.868 0.397
Nd 0.615 0.615 0.156
Nd 0.385 0.385 0.844

Properties
Its symmetry is No. 166. The value obtained for the density of states at the Fermi level is 0.900 states/eV/atom.


--- x ---
Here is a geometry-optimized Nd4MgAl2 structure from Alexandria via LeMat-Bulk. Energies are from PBE.

Unit cell a=7.689 b=6.399 c=9.193 alpha=90.00 beta=115.59 gamma=90.00
Sites, in units of the cell vectors:
Mg 0.798 0.250 0.861
Mg 0.202 0.750 0.139
Nd 0.063 0.250 0.235
Nd 0.586 0.492 0.226
Nd 0.414 0.508 0.774
Nd 0.414 0.992 0.774
Nd 0.943 0.250 0.575
Nd 0.937 0.750 0.765
Nd 0.586 0.008 0.226
Nd 0.057 0.750 0.425
Al 0.796 0.750 0.041
Al 0.497 0.250 0.509
Al 0.204 0.250 0.959
Al 0.503 0.750 0.491

Properties
Its symmetry is No. 11. The value obtained for the density of states at the Fermi level is 1.065 states/eV/atom.


Ranked by calculated energy, most stable first: w, x.


--- w ---
Here is a geometry-optimized Nd3Mg2Al structure from Alexandria via LeMat-Bulk. Energies are from PBE.

Unit cell a=5.406 b=5.406 c=6.626 alpha=90.00 beta=90.00 gamma=120.00
Sites, in units of the cell vectors:
Al 0.000 0.000 0.000
Nd 0.333 0.667 0.159
Nd 0.000 0.000 0.500
Nd 0.667 0.333 0.841
Mg 0.667 0.333 0.342
Mg 0.333 0.667 0.658

Properties
Its symmetry is No. 164. The value obtained for the density of states at the Fermi level is 1.010 states/eV/atom.


--- x ---
Here is a geometry-optimized Nd3Mg2Al structure from Alexandria via LeMat-Bulk. Energies are from PBE.

Unit cell a=3.801 b=3.801 c=11.708 alpha=90.00 beta=90.00 gamma=90.00
Sites, in units of the cell vectors:
Nd 0.000 0.000 0.654
Nd 0.000 0.000 0.346
Nd 0.000 0.000 0.000
Mg 0.500 0.500 0.830
Mg 0.500 0.500 0.170
Al 0.500 0.500 0.500

Properties
Its symmetry is No. 123. The value obtained for the density of states at the Fermi level is 1.173 states/eV/atom.


Ranked by calculated energy, most stable first: w, x.